Record 1
A geometry-optimized DyGa3C3 structure. Source: OQMD, functional PBE-GGA.

abc: 3.4592 3.4592 17.6937
angles: 90.00 90.00 120.00
Fractional coordinates of all 14 atoms:
Dy: 0.0000 0.0000 0.0000
Dy: 0.0000 0.0000 0.5000
Ga: 0.3333 0.6667 0.1291
Ga: 0.3333 0.6667 0.3709
Ga: 0.3333 0.6667 0.7500
Ga: 0.6667 0.3333 0.2500
Ga: 0.6667 0.3333 0.6291
Ga: 0.6667 0.3333 0.8709
C: 0.3333 0.6667 0.2500
C: 0.3333 0.6667 0.5880
C: 0.3333 0.6667 0.9120
C: 0.6667 0.3333 0.0880
C: 0.6667 0.3333 0.4120
C: 0.6667 0.3333 0.7500

Its density is 7.38 g cm⁻³. The total energy is -5.759 eV per atom. For the total magnetization, the calculation gives 0.00 μB/f.u.

---

Record 2
A geometry-optimized GdDyCI2 structure. Source: OQMD, functional PBE-GGA.

abc: 3.8876 3.8876 10.8150
angles: 90.00 90.00 120.00
Fractional coordinates of all 5 atoms:
Gd: 0.0000 0.0000 0.0000
Dy: 0.3333 0.6667 0.7546
C: 0.6667 0.3333 0.8762
I: 0.0000 0.0000 0.5547
I: 0.3333 0.6667 0.2027

Its density is 6.87 g cm⁻³. The total energy is -5.269 eV per atom. For the total magnetization, the calculation gives 0.01 μB/f.u.

---

Record 3
A geometry-optimized GdDyC2I2 structure. Source: OQMD, functional PBE-GGA.

abc: 7.3516 3.9182 11.3045
angles: 90.00 93.32 90.00
Fractional coordinates of all 12 atoms:
Gd: 0.0000 0.0000 0.0000
Gd: 0.5000 0.5000 0.0000
Dy: 0.2908 0.0000 0.2447
Dy: 0.7907 0.5000 0.2447
C: 0.0676 0.5000 0.1521
C: 0.2221 0.5000 0.0968
C: 0.5676 0.0000 0.1521
C: 0.7221 0.0000 0.0968
I: 0.3207 0.0000 0.8118
I: 0.4685 0.5000 0.4308
I: 0.8207 0.5000 0.8118
I: 0.9685 0.0000 0.4308

Its density is 6.11 g cm⁻³. The total energy is -5.993 eV per atom. For the total magnetization, the calculation gives 0.01 μB/f.u.

---

Record 4
A geometry-optimized GdDyIr2C3 structure. Source: OQMD, functional PBE-GGA.

abc: 11.4169 3.4773 5.2904
angles: 90.00 104.38 90.00
Fractional coordinates of all 14 atoms:
Gd: 0.0000 0.0000 0.0000
Gd: 0.5000 0.5000 0.0000
Dy: 0.2477 0.0000 0.6407
Dy: 0.7477 0.5000 0.6407
Ir: 0.2564 0.5000 0.1546
Ir: 0.4900 0.0000 0.4863
Ir: 0.7564 0.0000 0.1546
Ir: 0.9900 0.5000 0.4863
C: 0.1248 0.5000 0.3260
C: 0.3493 0.0000 0.1168
C: 0.3964 0.5000 0.5221
C: 0.6248 0.0000 0.3260
C: 0.8493 0.5000 0.1168
C: 0.8964 0.0000 0.5221

Its density is 12.08 g cm⁻³. The total energy is -7.929 eV per atom. For the total magnetization, the calculation gives 0.00 μB/f.u.

---

Record 5
A geometry-optimized GdDyMo2C3 structure. Source: OQMD, functional PBE-GGA.

abc: 11.3393 3.4049 5.7267
angles: 90.00 107.43 90.00
Fractional coordinates of all 14 atoms:
Gd: 0.0000 0.0000 0.0000
Gd: 0.5000 0.5000 0.0000
Dy: 0.2262 0.0000 0.6430
Dy: 0.7262 0.5000 0.6430
Mo: 0.2635 0.5000 0.1987
Mo: 0.4624 0.0000 0.4461
Mo: 0.7635 0.0000 0.1987
Mo: 0.9624 0.5000 0.4461
C: 0.1135 0.5000 0.3248
C: 0.3400 0.0000 0.0814
C: 0.3841 0.5000 0.5615
C: 0.6135 0.0000 0.3248
C: 0.8400 0.5000 0.0814
C: 0.8841 0.0000 0.5615

Its density is 8.62 g cm⁻³. The total energy is -8.683 eV per atom. For the total magnetization, the calculation gives 0.01 μB/f.u.

---

Record 6
A geometry-optimized GdDySi2Mo2C structure. Source: OQMD, functional PBE-GGA.

abc: 11.1597 3.8262 7.1744
angles: 90.00 125.69 90.00
Fractional coordinates of all 14 atoms:
Gd: 0.0000 0.0000 0.0000
Gd: 0.5000 0.5000 0.0000
Dy: 0.1500 0.0000 0.5928
Dy: 0.6500 0.5000 0.5928
Si: 0.2069 0.5000 0.9617
Si: 0.4436 0.0000 0.6312
Si: 0.7069 0.0000 0.9617
Si: 0.9436 0.5000 0.6312
Mo: 0.2815 0.5000 0.3811
Mo: 0.3696 0.0000 0.2139
Mo: 0.7815 0.0000 0.3811
Mo: 0.8696 0.5000 0.2139
C: 0.0758 0.5000 0.2987
C: 0.5758 0.0000 0.2987

Its density is 7.74 g cm⁻³. The total energy is -7.883 eV per atom. For the total magnetization, the calculation gives 0.00 μB/f.u.

---

Record 7
A geometry-optimized GdDy3Pb2C2 structure. Source: OQMD, functional PBE-GGA.

abc: 3.6478 3.6478 16.2151
angles: 90.00 90.00 120.00
Fractional coordinates of all 8 atoms:
Gd: 0.0000 0.0000 0.0000
Dy: 0.0000 0.0000 0.6655
Dy: 0.6667 0.3333 0.1662
Dy: 0.6667 0.3333 0.5009
Pb: 0.0000 0.0000 0.3333
Pb: 0.6667 0.3333 0.8321
C: 0.3333 0.6667 0.0844
C: 0.3333 0.6667 0.5830

Its density is 9.63 g cm⁻³. The total energy is -6.019 eV per atom. For the total magnetization, the calculation gives 0.01 μB/f.u.

---

Record 8
A geometry-optimized GdDyPbC structure. Source: OQMD, functional PBE-GGA.

abc: 3.6552 3.6552 16.2648
angles: 90.00 90.00 120.00
Fractional coordinates of all 8 atoms:
Gd: 0.3333 0.6667 0.4163
Gd: 0.6667 0.3333 0.5837
Dy: 0.3333 0.6667 0.0819
Dy: 0.6667 0.3333 0.9181
Pb: 0.3333 0.6667 0.7521
Pb: 0.6667 0.3333 0.2479
C: 0.0000 0.0000 0.0000
C: 0.0000 0.0000 0.5000

Its density is 9.51 g cm⁻³. The total energy is -6.015 eV per atom. For the total magnetization, the calculation gives 0.01 μB/f.u.